No. 1
Material: Sm2Dy8Zr
Method: DFT, PBE
State: optimized geometry

Unit cell a=17.9478 b=4.9667 c=7.8849 alpha=90.00 beta=105.20 gamma=90.00
Closest atoms and distances in Å follow each position.
Space group C2/m (No. 12)
Inequivalent atoms, fractional coordinates:
Sm (0.2261, 0.0000, 0.1349) [4 per cell]  2 Sm 3.52, 10 Dy 3.54-3.61
Dy (0.0437, 0.0000, 0.2366) [4 per cell]  9 Dy 3.38-3.65, 2 Zr 3.46, 1 Sm 3.57
Dy (0.0884, 0.5000, 0.9430) [4 per cell]  1 Zr 3.44, 8 Dy 3.47-3.63, 3 Sm 3.54-3.55
Dy (0.1310, 0.0000, 0.6726) [4 per cell]  7 Dy 3.38-3.65, 2 Zr 3.44, 3 Sm 3.60-3.61
Dy (0.1783, 0.5000, 0.4094) [4 per cell]  1 Zr 3.46, 8 Dy 3.48-3.65, 3 Sm 3.54-3.55
Zr (0.0000, 0.5000, 0.5000) [2 per cell]  12 Dy 3.44-3.46

***

No. 2
Material: Sm6Dy8Zr
Method: DFT, PBE
State: optimized geometry

Unit cell a=9.0568 b=9.0568 c=20.4734 alpha=90.00 beta=90.00 gamma=120.00
Closest atoms and distances in Å follow each position.
Space group R-3 (No. 148, hexagonal axes)
Inequivalent atoms, fractional coordinates:
Sm (0.0678, 0.8156, 0.2085) [18 per cell]  4 Dy 3.34-3.63, 1 Zr 3.40, 4 Sm 3.55-3.71
Dy (0.0000, 0.0000, 0.0767) [6 per cell]  4 Dy 3.14-3.42, 3 Sm 3.39
Dy (0.0839, 0.5264, 0.3050) [18 per cell]  3 Sm 3.34-3.63, 5 Dy 3.40-3.47, 1 Zr 3.45
Zr (0.0000, 0.0000, 0.5000) [3 per cell]  6 Sm 3.40, 6 Dy 3.45

***

No. 3
Material: Sm14DyZr
Method: DFT, PBE
State: optimized geometry

Unit cell a=7.1908 b=7.1908 c=10.1436 alpha=90.00 beta=90.00 gamma=90.00
Closest atoms and distances in Å follow each position.
Space group P4/mmm (No. 123)
Inequivalent atoms, fractional coordinates:
Sm (0.0000, 0.0000, 0.0000) [1 per cell]  12 Sm 3.60
Sm (0.0000, 0.5000, 0.0000) [2 per cell]  12 Sm 3.60-3.64
Sm (0.0000, 0.5000, 0.5000) [2 per cell]  8 Sm 3.55, 2 Dy 3.60, 2 Zr 3.60
Sm (0.2449, 0.2449, 0.2565) [8 per cell]  1 Zr 3.51, 10 Sm 3.52-3.67, 1 Dy 3.58
Sm (0.5000, 0.5000, 0.0000) [1 per cell]  12 Sm 3.60-3.67
Dy (0.5000, 0.5000, 0.5000) [1 per cell]  12 Sm 3.58-3.60
Zr (0.0000, 0.0000, 0.5000) [1 per cell]  12 Sm 3.51-3.60

***

No. 4
Material: Sm2Dy12Zr
Method: DFT, PBE
State: optimized geometry

Unit cell a=7.0605 b=11.1744 c=24.2612 alpha=90.00 beta=98.29 gamma=90.00
Closest atoms and distances in Å follow each position.
Space group Cm (No. 8)
Inequivalent atoms, fractional coordinates:
Sm (0.0000, 0.0000, 0.0000) [2 per cell]  2 Sm 3.51-3.55, 8 Dy 3.60-3.72
Sm (0.0025, 0.5000, 0.9986) [2 per cell]  2 Sm 3.51-3.55, 8 Dy 3.60-3.73
Sm (0.0141, 0.0000, 0.5343) [2 per cell]  2 Sm 3.48-3.58, 10 Dy 3.59-3.81
Sm (0.0201, 0.5000, 0.5336) [2 per cell]  2 Sm 3.48-3.58, 10 Dy 3.59-3.81
Dy (0.0993, 0.2500, 0.1983) [4 per cell]  2 Zr 3.26-3.27, 10 Dy 3.49-3.56
Dy (0.1066, 0.2470, 0.7102) [4 per cell]  10 Dy 3.21-3.53
Dy (0.1659, 0.0000, 0.8402) [2 per cell]  8 Dy 3.31-3.64
Dy (0.1780, 0.5000, 0.8448) [2 per cell]  8 Dy 3.32-3.60
Dy (0.1956, 0.0000, 0.3939) [2 per cell]  1 Zr 3.01, 2 Dy 3.24
Dy (0.1958, 0.5000, 0.3939) [2 per cell]  1 Zr 3.01, 2 Dy 3.24
Dy (0.2202, 0.2482, 0.9387) [4 per cell]  5 Dy 3.16-3.53
Dy (0.2309, 0.2498, 0.4621) [4 per cell]  5 Dy 3.17-3.53
Dy (0.2874, 0.2496, 0.0703) [4 per cell]  6 Dy 3.16-3.54
Dy (0.2984, 0.2470, 0.5940) [4 per cell]  5 Dy 3.17-3.53
Dy (0.3263, 0.0000, 0.1517) [2 per cell]  2 Zr 3.32, 8 Dy 3.41-3.53
Dy (0.3261, 0.5000, 0.1515) [2 per cell]  2 Zr 3.32, 8 Dy 3.41-3.53
Dy (0.3433, 0.5000, 0.6889) [2 per cell]  8 Dy 3.33-3.63
Dy (0.3538, 0.0000, 0.6967) [2 per cell]  8 Dy 3.31-3.70
Dy (0.4123, 0.2450, 0.8220) [4 per cell]  10 Dy 3.21-3.53
Dy (0.4128, 0.2500, 0.3272) [4 per cell]  10 Dy 3.53-3.69, 4 Zr 3.59
Zr (0.1340, 0.0000, 0.2686) [2 per cell]  5 Dy 3.01-3.32
Zr (0.1342, 0.5000, 0.2687) [2 per cell]  5 Dy 3.01-3.32

***

Record order is preserved below.
Density: 8284 7856 7468 8212 kg/m3
Record order is preserved below.
Uncorrected energy: -4.94 -4.78 -4.91 -4.76 eV/atom
Record order is preserved below.
Spin magnetization: 0.0000 0.0000 0.0000 0.0000 μB per atom